1.
DFT (meta-GGA SCAN) results for BeSi2Te at its PBEsol-relaxed geometry.

Unit cell a=3.749 b=3.664 c=5.474 alpha=90.00 beta=91.07 gamma=90.00
Space group Pm (No. 6)
Inequivalent atoms, fractional coordinates:
Be  0.000  0.000  0.000
Si  0.497  0.000  0.267
Si  0.546  0.500  0.999
Te  0.069  0.500  0.649

Calculated values
- spin magnetization (μB per cell) = 0.00
- relative energy among the computed polymorphs (meV/atom) = 36
- formation energy from raw total energies (eV per atom) = 0.436

---

2.
DFT (meta-GGA SCAN) results for BeSi2Te at its PBEsol-relaxed geometry.

Unit cell a=3.7169 b=3.7169 c=17.6359 alpha=90.00 beta=90.00 gamma=120.00
Space group R3m (No. 160, hexagonal axes)
Inequivalent atoms, fractional coordinates:
Be  0.0000  0.0000  0.0000
Si  0.0000  0.0000  0.2557
Si  0.0000  0.0000  0.5270
Te  0.0000  0.0000  0.7433

Calculated values
- spin magnetization (μB per cell) = 0.00
- relative energy among the computed polymorphs (meV/atom) = 0
- formation energy from raw total energies (eV per atom) = 0.400

---

3.
DFT (meta-GGA SCAN) results for BeSiTe2 at its PBEsol-relaxed geometry.

Unit cell a=3.774 b=6.280 c=7.465 alpha=90.00 beta=90.00 gamma=90.00
Space group Cmmm (No. 65)
Inequivalent atoms, fractional coordinates:
Be  0.000  0.000  0.000
Si  0.000  0.000  0.500
Te  0.000  0.500  0.226

Calculated values
- spin magnetization (μB per cell) = 0.00
- relative energy among the computed polymorphs (meV/atom) = 373
- formation energy from raw total energies (eV per atom) = 0.580

---

4.
DFT (meta-GGA SCAN) results for TiBe3Si at its PBEsol-relaxed geometry.

Unit cell a=4.037 b=4.037 c=4.037 alpha=90.00 beta=90.00 gamma=90.00
Space group Pm-3m (No. 221)
Inequivalent atoms, fractional coordinates:
Ti  0.000  0.000  0.000
Be  0.000  0.500  0.500
Si  0.500  0.500  0.500

Calculated values
- spin magnetization (μB per cell) = 0.00
- formation energy from raw total energies (eV per atom) = 0.797

---

5.
DFT (meta-GGA SCAN) results for Ti3BeSi at its PBEsol-relaxed geometry.

Unit cell a=4.247 b=4.247 c=4.247 alpha=90.00 beta=90.00 gamma=90.00
Space group Pm-3m (No. 221)
Inequivalent atoms, fractional coordinates:
Ti  0.000  0.000  0.500
Be  0.000  0.000  0.000
Si  0.500  0.500  0.500

Calculated values
- spin magnetization (μB per cell) = 0.00
- relative energy among the computed polymorphs (meV/atom) = 0
- formation energy from raw total energies (eV per atom) = 0.104

---

6.
DFT (meta-GGA SCAN) results for BeTlSi at its PBEsol-relaxed geometry.

Unit cell a=5.956 b=5.956 c=5.956 alpha=90.00 beta=90.00 gamma=90.00
Space group F-43m (No. 216)
Inequivalent atoms, fractional coordinates:
Be  0.000  0.000  0.000
Tl  0.250  0.250  0.250
Si  0.250  0.250  0.750

Calculated values
- spin magnetization (μB per cell) = 0.00
- relative energy among the computed polymorphs (meV/atom) = 98
- formation energy from raw total energies (eV per atom) = 0.569

---

7.
DFT (meta-GGA SCAN) results for Be2TlSi at its PBEsol-relaxed geometry.

Unit cell a=4.221 b=4.221 c=14.673 alpha=90.00 beta=90.00 gamma=90.00
Space group I-42d (No. 122)
Inequivalent atoms, fractional coordinates:
Be  0.125  0.250  0.125
Tl  0.000  0.000  0.500
Si  0.000  0.000  0.000

Calculated values
- spin magnetization (μB per cell) = 0.00
- relative energy among the computed polymorphs (meV/atom) = 0
- formation energy from raw total energies (eV per atom) = 0.503

---

8.
DFT (meta-GGA SCAN) results for BeTlSi at its PBEsol-relaxed geometry.

Unit cell a=3.9027 b=3.9027 c=4.1464 alpha=90.00 beta=90.00 gamma=120.00
Space group P-6m2 (No. 187)
Inequivalent atoms, fractional coordinates:
Be  0.0000  0.0000  0.0000
Tl  0.6667  0.3333  0.5000
Si  0.3333  0.6667  0.0000

Calculated values
- spin magnetization (μB per cell) = 0.00
- relative energy among the computed polymorphs (meV/atom) = 0
- formation energy from raw total energies (eV per atom) = 0.471

---

9.
DFT (meta-GGA SCAN) results for Be2TlSi at its PBEsol-relaxed geometry.

Unit cell a=3.798 b=5.549 c=6.189 alpha=90.00 beta=90.00 gamma=90.00
Space group Immm (No. 71)
Inequivalent atoms, fractional coordinates:
Be  0.000  0.000  0.183
Tl  0.000  0.500  0.000
Si  0.000  0.500  0.500

Calculated values
- spin magnetization (μB per cell) = 0.00
- relative energy among the computed polymorphs (meV/atom) = 201
- formation energy from raw total energies (eV per atom) = 0.704

---

10.
DFT (meta-GGA SCAN) results for BeTlSi2 at its PBEsol-relaxed geometry.

Unit cell a=3.629 b=3.629 c=5.130 alpha=90.00 beta=90.00 gamma=90.00
Space group P4/mmm (No. 123)
Inequivalent atoms, fractional coordinates:
Be  0.000  0.000  0.000
Tl  0.500  0.500  0.000
Si  0.000  0.500  0.500

Calculated values
- spin magnetization (μB per cell) = 0.00
- formation energy from raw total energies (eV per atom) = 0.804

---

11.
DFT (meta-GGA SCAN) results for Be2SiW at its PBEsol-relaxed geometry.

Unit cell a=3.378 b=3.378 c=7.726 alpha=90.00 beta=90.00 gamma=90.00
Space group I-4m2 (No. 119)
Inequivalent atoms, fractional coordinates:
Be  0.000  0.000  0.000
Be  0.000  0.500  0.250
Si  0.000  0.000  0.500
W  0.000  0.500  0.750

Calculated values
- spin magnetization (μB per cell) = 0.00
- formation energy from raw total energies (eV per atom) = -0.220

---

12.
DFT (meta-GGA SCAN) results for BeSiW3 at its PBEsol-relaxed geometry.

Unit cell a=4.167 b=4.167 c=4.167 alpha=90.00 beta=90.00 gamma=90.00
Space group Pm-3m (No. 221)
Inequivalent atoms, fractional coordinates:
Be  0.000  0.000  0.000
Si  0.500  0.500  0.500
W  0.000  0.000  0.500

Calculated values
- spin magnetization (μB per cell) = 0.00
- formation energy from raw total energies (eV per atom) = 1.048